[1]
First-principles (PBE-GGA) data for a relaxed structure of NdZr3H, as listed in the Alexandria database.

Cell and atoms, written as POSCAR:
```
NdZr3H
1.0
-1.1566 4.0520 -2.0116
-2.3229 1.2498 3.8529
3.8819 1.9551 1.7062
Zr H Nd
3 1 1
Cartesian
1.9410 0.9776 0.8531
-0.5783 2.0260 -1.0058
-1.1614 0.6249 1.9265
0.0000 0.0000 0.0000
0.2012 3.6284 1.7737
```

Output
- Electronic total energy: -33.68 eV/cell

[2]
First-principles (PBE-GGA) data for a relaxed structure of ScInAsBr2, as listed in the Alexandria database.

Cell and atoms, written as POSCAR:
```
ScInAsBr2
1.0
5.3467 0.0000 0.0000
0.0000 5.3467 0.0000
0.0000 0.0000 5.4020
Sc Br As In
1 2 1 1
Cartesian
2.6734 2.6734 2.7010
0.0000 2.6734 0.0000
2.6734 0.0000 0.0000
0.0000 0.0000 2.7010
0.0000 0.0000 0.0000
```

Output
- Formation energy (no corrections): 0.05 eV/atom
- E above lowest polymorph: 71.8 kJ per mole of atoms

[3]
First-principles (PBE-GGA) data for a relaxed structure of CrTe2S6, as listed in the Alexandria database.

Cell and atoms, written as POSCAR:
```
CrTe2S6
1.0
3.6427 0.0000 0.0000
-1.8214 6.1866 -2.3341
0.0000 -1.5089 10.7738
S Cr Te
6 1 2
Cartesian
0.0000 -0.3893 3.0565
1.8214 0.8545 5.5820
1.8214 5.0671 5.3832
1.8214 2.0416 0.2123
0.0000 2.6362 8.2274
0.0000 3.8232 2.8577
0.0000 -0.7544 5.3869
1.8214 0.7704 8.0825
0.0000 3.9074 0.3572
```

Output
- Formation energy (no corrections): -0.12 eV/atom

[4]
First-principles (PBE-GGA) data for a relaxed structure of Co2CuSi, as listed in the Alexandria database.

Cell and atoms, written as POSCAR:
```
Co2CuSi
1.0
4.3389 0.0003 0.0000
1.4442 4.0915 0.0000
-2.8916 -2.0459 2.5059
Cu Si Co
1 1 2
Cartesian
2.8916 2.0459 0.0000
2.1695 0.0002 1.2529
0.0000 0.0000 0.0000
0.7221 2.0458 1.2529
```

Output
- Formation energy (no corrections): -0.12 eV/atom

[5]
First-principles (PBE-GGA) data for a relaxed structure of CoCu2Br, as listed in the Alexandria database.

Cell and atoms, written as POSCAR:
```
CoCu2Br
1.0
3.2104 0.0000 0.0000
0.0000 3.1595 -0.2458
0.0000 0.5000 6.4219
Cu Br Co
2 1 1
Cartesian
0.0000 1.0700 3.5358
0.0000 1.2599 5.9742
1.6052 0.9149 1.5440
1.6052 2.7447 4.6321
```

Output
- Formation energy (no corrections): 0.42 eV/atom
- E above lowest polymorph: 7.4 kJ per mole of atoms

[6]
First-principles (PBE-GGA) data for a relaxed structure of CaEuAu, as listed in the Alexandria database.

Cell and atoms, written as POSCAR:
```
CaEuAu
1.0
5.1865 0.0000 0.0000
2.5933 4.4917 0.0000
2.5933 1.4972 4.2348
Eu Au Ca
1 1 1
Cartesian
0.0000 0.0000 0.0000
2.5933 1.4972 1.0587
5.1865 2.9944 2.1174
```

Output
- Energy of formation: -0.534 eV/atom
- E above lowest polymorph: 1.8 kJ per mole of atoms

[7]
First-principles (PBE-GGA) data for a relaxed structure of Ca2ZnHAu, as listed in the Alexandria database.

Cell and atoms, written as POSCAR:
```
Ca2ZnHAu
1.0
-4.6191 -1.4084 -1.0151
-0.7143 -1.0880 4.7599
-1.2608 3.6672 0.6490
Zn Au Ca H
1 1 2 1
Cartesian
-0.6304 1.8336 0.3245
-3.2971 0.5854 2.1969
-2.3096 -0.7042 -0.5076
-0.3572 -0.5440 2.3799
0.0000 0.0000 0.0000
```

Output
- E above lowest polymorph: 0.0 kJ per mole of atoms

[8]
First-principles (PBE-GGA) data for a relaxed structure of Ho8ErSn6, as listed in the Alexandria database.

Cell and atoms, written as POSCAR:
```
Ho8ErSn6
1.0
8.9767 0.0000 0.0000
4.4883 7.7740 0.0000
4.4883 2.5914 6.4690
Ho Sn Er
8 6 1
Cartesian
11.9693 5.1791 2.0582
7.4773 2.5928 2.0582
8.9767 5.1827 0.0023
8.9767 5.1827 6.4667
5.9841 5.1863 4.4108
7.4835 7.7762 2.0582
10.4761 7.7726 4.4108
10.4699 2.5892 4.4108
5.9832 5.1879 1.3052
11.9702 5.1775 5.1638
7.4845 7.7778 5.1638
10.4689 2.5876 1.3052
7.4754 2.5929 5.1638
10.4780 7.7725 1.3052
0.0000 0.0000 0.0000
```

Output
- Energy of formation: -0.524 eV/atom

[9]
First-principles (PBE-GGA) data for a relaxed structure of Tb3SmEr6Sc2, as listed in the Alexandria database.

Cell and atoms, written as POSCAR:
```
Tb3SmEr6Sc2
1.0
-2.6626 -3.4782 -4.1616
5.9230 1.1377 -0.3607
1.0746 -8.4483 7.8325
Er Sc Tb Sm
6 2 3 1
Cartesian
1.6384 -6.9696 4.7630
4.6969 -7.3551 3.1563
1.8150 -8.9045 1.8804
2.5200 -1.8844 1.4297
2.6965 -3.8193 -1.4528
-0.3619 -3.4338 0.1539
0.1985 -1.9400 -2.8950
3.0619 -0.4005 -1.6273
5.0254 -3.8579 2.9203
2.1675 -5.3944 1.6551
-0.6904 -6.9309 0.3898
0.0000 0.0000 0.0000
```

Output
- Energy of formation: 0.036 eV/atom

[10]
First-principles (PBE-GGA) data for a relaxed structure of NaTmGaPb, as listed in the Alexandria database.

Cell and atoms, written as POSCAR:
```
NaTmGaPb
1.0
5.2178 0.0000 0.0000
2.6089 4.5188 0.0000
2.6089 1.5063 4.2604
Tm Pb Na Ga
1 1 1 1
Cartesian
0.0000 0.0000 0.0000
2.6089 1.5063 1.0651
5.2178 3.0125 2.1302
7.8268 4.5188 3.1953
```

Output
- Energy of formation: -0.217 eV/atom

[11]
First-principles (PBE-GGA) data for a relaxed structure of SrBe2Tc, as listed in the Alexandria database.

Cell and atoms, written as POSCAR:
```
SrBe2Tc
1.0
3.4721 0.0000 0.0000
0.0000 3.3763 0.0078
0.0000 1.6672 5.9339
Tc Sr Be
1 1 2
Cartesian
1.7360 3.9890 5.4203
0.0000 2.3141 2.8221
1.7360 0.6301 0.9360
0.0000 2.2992 5.6681
```

Output
- Energy of formation: 0.325 eV/atom
- E above lowest polymorph: 12.8 kJ per mole of atoms

[12]
First-principles (PBE-GGA) data for a relaxed structure of LaEr2Pd3, as listed in the Alexandria database.

Cell and atoms, written as POSCAR:
```
LaEr2Pd3
1.0
-2.9490 1.6436 0.8869
-1.8658 -2.6658 -1.2637
0.2573 -4.8205 9.7893
Pd La Er
3 1 2
Cartesian
0.0000 0.0000 0.0000
0.1782 -3.3386 6.7798
0.0791 -1.4819 3.0094
-2.2788 -2.9214 4.7062
-2.1913 -4.5589 8.0316
-2.3662 -1.2839 1.3808
```

Output
- Energy of formation: -0.867 eV/atom

[13]
First-principles (PBE-GGA) data for a relaxed structure of Li2MgTe, as listed in the Alexandria database.

Cell and atoms, written as POSCAR:
```
Li2MgTe
1.0
-3.2287 1.8420 -0.7024
-1.2737 -0.8962 3.5047
2.4341 5.1015 2.1891
Mg Li Te
1 2 1
Cartesian
-1.6427 1.7483 1.9484
1.2874 2.6982 1.1578
2.3638 4.9540 2.1258
-0.4256 4.2990 3.0429
```

Output
- Formation energy (no corrections): -0.45 eV/atom
- E above lowest polymorph: 9.0 kJ per mole of atoms

[14]
First-principles (PBE-GGA) data for a relaxed structure of ScMnAg, as listed in the Alexandria database.

Cell and atoms, written as POSCAR:
```
ScMnAg
1.0
-0.9320 4.3354 0.9248
-2.7724 1.0392 3.4283
1.6587 1.9229 3.7511
Sc Mn Ag
1 1 1
Cartesian
-1.0228 3.6487 4.0521
0.0000 0.0000 0.0000
-1.5342 5.4731 6.0782
```

Output
- Energy of formation: 0.378 eV/atom
- E above lowest polymorph: 32.3 kJ per mole of atoms

[15]
First-principles (PBE-GGA) data for a relaxed structure of CdH3F, as listed in the Alexandria database.

Cell and atoms, written as POSCAR:
```
CdH3F
1.0
-1.9713 2.3739 1.9454
-2.4604 0.1598 -2.6883
-1.8347 -2.7650 1.5149
H F Cd
3 1 1
Cartesian
-0.9857 1.1870 0.9727
-0.9174 -1.3825 0.7574
-1.2302 0.0799 -1.3441
0.0000 0.0000 0.0000
-3.1332 -0.1156 0.3860
```

Output
- E above lowest polymorph: 43.4 kJ per mole of atoms

[16]
First-principles (PBE-GGA) data for a relaxed structure of CuRe2Os, as listed in the Alexandria database.

Cell and atoms, written as POSCAR:
```
CuRe2Os
1.0
-3.3645 4.7872 -1.3399
0.6040 -3.4428 -3.1715
-2.7092 -0.3683 -0.1136
Re Os Cu
2 1 1
Cartesian
0.0000 0.0000 0.0000
-3.0369 2.2095 -0.7267
-1.3803 0.6722 -2.2557
-1.0526 -1.9056 -1.6425
```

Output
- Energy of formation: 0.284 eV/atom
- E above lowest polymorph: 8.4 kJ per mole of atoms

[17]
First-principles (PBE-GGA) data for a relaxed structure of CuReO4, as listed in the Alexandria database.

Cell and atoms, written as POSCAR:
```
CuReO4
1.0
-0.5978 -4.3707 1.7839
4.0902 -1.2056 -2.3386
3.2592 1.6189 4.7991
O Re Cu
8 2 2
Cartesian
2.0412 -1.3225 -0.1639
6.6838 -0.6227 2.4794
3.6532 -0.5420 2.5556
4.7104 -2.6348 4.4084
4.7678 -1.6384 0.0505
3.0984 -3.4153 1.6889
1.9838 -2.3189 4.1939
0.0678 -3.3346 1.7651
3.1160 -3.3228 5.1466
3.6356 -0.6345 -0.9022
5.0430 -1.9362 2.4494
1.7086 -2.0211 1.7950
```

Output
- Formation energy (no corrections): -1.26 eV/atom

[18]
First-principles (PBE-GGA) data for a relaxed structure of Sm2ThRh4, as listed in the Alexandria database.

Cell and atoms, written as POSCAR:
```
Sm2ThRh4
1.0
-2.7796 -3.9051 -3.0098
2.1155 1.6885 -4.1445
4.9086 -1.6336 4.7962
Rh Sm Th
4 2 1
Cartesian
-0.6463 -3.0879 -1.5879
2.3871 0.3951 -1.5767
4.8908 -0.7622 -0.7702
1.8574 -4.2453 -0.7814
2.8973 -2.0515 0.6431
1.3472 -1.7987 -3.0013
0.0000 0.0000 0.0000
```

Output
- Energy of formation: -0.636 eV/atom

[19]
First-principles (PBE-GGA) data for a relaxed structure of PrThAgHg, as listed in the Alexandria database.

Cell and atoms, written as POSCAR:
```
PrThAgHg
1.0
5.3769 0.0000 0.0000
2.6884 4.6565 0.0000
2.6884 1.5522 4.3902
Ag Hg Th Pr
1 1 1 1
Cartesian
2.6884 1.5522 1.0975
8.0653 4.6565 3.2926
0.0000 0.0000 0.0000
5.3769 3.1043 2.1951
```

Output
- Energy of formation: -0.208 eV/atom

[20]
First-principles (PBE-GGA) data for a relaxed structure of KErP2S8, as listed in the Alexandria database.

Cell and atoms, written as POSCAR:
```
KErP2S8
1.0
-2.3332 0.3857 -5.6556
1.1477 -5.4899 2.4743
-8.6581 -0.2065 3.5578
S P K Er
8 2 1 1
Cartesian
-1.5854 -1.5826 -2.7761
-3.2363 -1.8912 0.0191
-2.0752 -3.5952 2.7457
-8.2582 -3.7280 3.1527
-6.6792 -0.0018 0.3809
-7.7684 -1.7155 -2.3692
-3.1644 -5.3089 -0.0044
-6.6073 -3.4194 0.3575
-3.4724 -1.6276 -2.0007
-6.3713 -3.6830 2.3773
0.0000 0.0000 0.0000
-4.3291 -0.1033 1.7789
```

Output
- Formation energy (no corrections): -0.58 eV/atom